## one
## AcNdGe (PBE)

Data for AcNdGe after structural relaxation.

Properties
total magnetization: 0.24 μB per formula unit

```
data_AcNdGe
_space_group_name_H-M_alt 'P 3 m 1'
_space_group_IT_number 156
_space_group_name_Hall 'P 3 -2"'
_cell_length_a 4.3122
_cell_length_b 4.3122
_cell_length_c 7.0752
_cell_angle_alpha 90.00
_cell_angle_beta 90.00
_cell_angle_gamma 120.00
loop_
_atom_site_label
_atom_site_type_symbol
_atom_site_fract_x
_atom_site_fract_y
_atom_site_fract_z
Ac1 Ac 0.0000 0.0000 0.0000
Nd1 Nd 0.6667 0.3333 0.5086
Ge1 Ge 0.3333 0.6667 0.7280
```

***

## two
## AcNdGe (PBE)

Data for AcNdGe after structural relaxation.

Properties
total magnetization: 0.70 μB per formula unit

```
data_AcNdGe
_space_group_name_H-M_alt 'P -6 2 m'
_space_group_IT_number 189
_space_group_name_Hall 'P -6 -2'
_cell_length_a 8.3690
_cell_length_b 8.3690
_cell_length_c 4.6195
_cell_angle_alpha 90.00
_cell_angle_beta 90.00
_cell_angle_gamma 120.00
loop_
_atom_site_label
_atom_site_type_symbol
_atom_site_fract_x
_atom_site_fract_y
_atom_site_fract_z
Ac1 Ac 0.0000 0.4107 0.0000
Nd1 Nd 0.0000 0.7435 0.5000
Ge1 Ge 0.0000 0.0000 0.0000
Ge2 Ge 0.3333 0.6667 0.5000
```

***

## three
## AcNdGe (PBE)

Data for AcNdGe after structural relaxation.

Properties
total magnetization: 0.00 μB per formula unit

```
data_AcNdGe
_space_group_name_H-M_alt 'F -4 3 m'
_space_group_IT_number 216
_space_group_name_Hall 'F -4 2 3'
_cell_length_a 7.403
_cell_length_b 7.403
_cell_length_c 7.403
_cell_angle_alpha 90.00
_cell_angle_beta 90.00
_cell_angle_gamma 90.00
loop_
_atom_site_label
_atom_site_type_symbol
_atom_site_fract_x
_atom_site_fract_y
_atom_site_fract_z
Ac1 Ac 0.000 0.000 0.000
Nd1 Nd 0.000 0.000 0.500
Ge1 Ge 0.250 0.250 0.750
```

***

Quick one: most stable of them? two

***

## one
## AcNdGePd (PBE)

Data for AcNdGePd after structural relaxation.

Properties
total magnetization: 0.00 μB per formula unit

```
data_AcNdGePd
_space_group_name_H-M_alt 'P 4/n m m'
_space_group_IT_number 129
_cell_length_a 4.868
_cell_length_b 4.868
_cell_length_c 10.569
_cell_angle_alpha 90.00
_cell_angle_beta 90.00
_cell_angle_gamma 90.00
loop_
_space_group_symop_operation_xyz
'x,y,z'
'-x,-y,-z'
'-y+1/2,x,z'
'y+1/2,-x,-z'
'-x+1/2,-y+1/2,z'
'x+1/2,y+1/2,-z'
'y,-x+1/2,z'
'-y,x+1/2,-z'
'x+1/2,-y,-z'
'-x+1/2,y,z'
'-y,-x,-z'
'y,x,z'
'-x,y+1/2,-z'
'x,-y+1/2,z'
'y+1/2,x+1/2,-z'
'-y+1/2,-x+1/2,z'
loop_
_atom_site_label
_atom_site_type_symbol
_atom_site_fract_x
_atom_site_fract_y
_atom_site_fract_z
Ac1 Ac 0.250 0.250 0.163
Nd1 Nd 0.250 0.750 0.500
Ge1 Ge 0.250 0.250 0.874
Pd1 Pd 0.250 0.250 0.649
```

***

## two
## AcNdGePd (PBE)

Data for AcNdGePd after structural relaxation.

Properties
total magnetization: 0.00 μB per formula unit

```
data_AcNdGePd
_space_group_name_H-M_alt 'F -4 3 m'
_space_group_IT_number 216
_space_group_name_Hall 'F -4 2 3'
_cell_length_a 7.534
_cell_length_b 7.534
_cell_length_c 7.534
_cell_angle_alpha 90.00
_cell_angle_beta 90.00
_cell_angle_gamma 90.00
loop_
_atom_site_label
_atom_site_type_symbol
_atom_site_fract_x
_atom_site_fract_y
_atom_site_fract_z
Ac1 Ac 0.000 0.000 0.000
Nd1 Nd 0.000 0.000 0.500
Ge1 Ge 0.250 0.250 0.750
Pd1 Pd 0.250 0.250 0.250
```

***

Quick one: most stable of them? two

***

## one
## Ac2NiGe (PBE)

Data for Ac2NiGe after structural relaxation.

Properties
total magnetization: 0.00 μB per formula unit

```
data_Ac2NiGe
_space_group_name_H-M_alt 'F m -3 m'
_space_group_IT_number 225
_space_group_name_Hall '-F 4 2 3'
_cell_length_a 7.624
_cell_length_b 7.624
_cell_length_c 7.624
_cell_angle_alpha 90.00
_cell_angle_beta 90.00
_cell_angle_gamma 90.00
loop_
_atom_site_label
_atom_site_type_symbol
_atom_site_fract_x
_atom_site_fract_y
_atom_site_fract_z
Ac1 Ac 0.250 0.250 0.250
Ni1 Ni 0.000 0.000 0.000
Ge1 Ge 0.000 0.000 0.500
```

***

## two
## Ac2NiGe (PBE)

Data for Ac2NiGe after structural relaxation.

Properties
total magnetization: 0.00 μB per formula unit

```
data_Ac2NiGe
_space_group_name_H-M_alt 'P 1 21/m 1'
_space_group_IT_number 11
_space_group_name_Hall '-P 2yb'
_cell_length_a 6.395
_cell_length_b 4.390
_cell_length_c 8.691
_cell_angle_alpha 90.00
_cell_angle_beta 110.45
_cell_angle_gamma 90.00
loop_
_atom_site_label
_atom_site_type_symbol
_atom_site_fract_x
_atom_site_fract_y
_atom_site_fract_z
Ac1 Ac 0.222 0.250 0.408
Ac2 Ac 0.237 0.250 0.956
Ni1 Ni 0.454 0.750 0.237
Ge1 Ge 0.339 0.750 0.705
```

***

Quick one: most stable of them? two

***

## one
## Ac2Ni2Ge3 (PBE)

Data for Ac2Ni2Ge3 after structural relaxation.

Properties
total magnetization: 0.00 μB per formula unit

```
data_Ac2Ni2Ge3
_space_group_name_H-M_alt 'C m c m'
_space_group_IT_number 63
_space_group_name_Hall '-C 2c 2'
_cell_length_a 4.534
_cell_length_b 18.969
_cell_length_c 7.022
_cell_angle_alpha 90.00
_cell_angle_beta 90.00
_cell_angle_gamma 90.00
loop_
_atom_site_label
_atom_site_type_symbol
_atom_site_fract_x
_atom_site_fract_y
_atom_site_fract_z
Ac1 Ac 0.000 0.053 0.250
Ac2 Ac 0.000 0.162 0.750
Ni1 Ni 0.000 0.303 0.557
Ge1 Ge 0.000 0.223 0.250
Ge2 Ge 0.000 0.435 0.066
```

***

## two
## Ac2Ni2Ge3 (PBE)

Data for Ac2Ni2Ge3 after structural relaxation.

Properties
total magnetization: 0.00 μB per formula unit

```
data_Ac2Ni2Ge3
_space_group_name_H-M_alt 'C 1 2/m 1'
_space_group_IT_number 12
_space_group_name_Hall '-C 2y'
_cell_length_a 10.341
_cell_length_b 4.390
_cell_length_c 7.035
_cell_angle_alpha 90.00
_cell_angle_beta 108.30
_cell_angle_gamma 90.00
loop_
_atom_site_label
_atom_site_type_symbol
_atom_site_fract_x
_atom_site_fract_y
_atom_site_fract_z
Ac1 Ac 0.150 0.000 0.284
Ni1 Ni 0.152 0.000 0.804
Ge1 Ge 0.000 0.500 0.500
Ge2 Ge 0.110 0.500 0.931
```

***

Quick one: most stable of them? one

***

## one
## Ac3NiGe (PBE)

Data for Ac3NiGe after structural relaxation.

Properties
total magnetization: 0.00 μB per formula unit

```
data_Ac3NiGe
_space_group_name_H-M_alt 'C 1 m 1'
_space_group_IT_number 8
_space_group_name_Hall 'C -2y'
_cell_length_a 16.514
_cell_length_b 4.327
_cell_length_c 8.847
_cell_angle_alpha 90.00
_cell_angle_beta 90.06
_cell_angle_gamma 90.00
loop_
_atom_site_label
_atom_site_type_symbol
_atom_site_fract_x
_atom_site_fract_y
_atom_site_fract_z
Ac1 Ac 0.000 0.000 0.000
Ac2 Ac 0.006 0.500 0.615
Ac3 Ac 0.143 0.000 0.363
Ac4 Ac 0.212 0.500 0.988
Ac5 Ac 0.294 0.500 0.627
Ac6 Ac 0.363 0.000 0.252
Ni1 Ni 0.038 0.500 0.253
Ni2 Ni 0.468 0.500 0.363
Ge1 Ge 0.143 0.000 0.738
Ge2 Ge 0.363 0.000 0.877
```

***

## two
## Ac3NiGe (PBE)

Data for Ac3NiGe after structural relaxation.

Properties
total magnetization: 0.00 μB per formula unit

```
data_Ac3NiGe
_space_group_name_H-M_alt 'P m -3 m'
_space_group_IT_number 221
_space_group_name_Hall '-P 4 2 3'
_cell_length_a 5.561
_cell_length_b 5.561
_cell_length_c 5.561
_cell_angle_alpha 90.00
_cell_angle_beta 90.00
_cell_angle_gamma 90.00
loop_
_atom_site_label
_atom_site_type_symbol
_atom_site_fract_x
_atom_site_fract_y
_atom_site_fract_z
Ac1 Ac 0.000 0.000 0.500
Ni1 Ni 0.000 0.000 0.000
Ge1 Ge 0.500 0.500 0.500
```

***

Quick one: most stable of them? one

***

## one
## SrAcNiGe (PBE)

Data for SrAcNiGe after structural relaxation.

Properties
total magnetization: 0.45 μB per formula unit

```
data_SrAcNiGe
_space_group_name_H-M_alt 'F -4 3 m'
_space_group_IT_number 216
_space_group_name_Hall 'F -4 2 3'
_cell_length_a 7.568
_cell_length_b 7.568
_cell_length_c 7.568
_cell_angle_alpha 90.00
_cell_angle_beta 90.00
_cell_angle_gamma 90.00
loop_
_atom_site_label
_atom_site_type_symbol
_atom_site_fract_x
_atom_site_fract_y
_atom_site_fract_z
Sr1 Sr 0.000 0.000 0.000
Ac1 Ac 0.000 0.000 0.500
Ni1 Ni 0.250 0.250 0.250
Ge1 Ge 0.250 0.250 0.750
```

***

## two
## SrAcNiGe (PBE)

Data for SrAcNiGe after structural relaxation.

Properties
total magnetization: 0.00 μB per formula unit

```
data_SrAcNiGe
_space_group_name_H-M_alt 'C 1 m 1'
_space_group_IT_number 8
_space_group_name_Hall 'C -2y'
_cell_length_a 7.396
_cell_length_b 4.272
_cell_length_c 8.427
_cell_angle_alpha 90.00
_cell_angle_beta 107.11
_cell_angle_gamma 90.00
loop_
_atom_site_label
_atom_site_type_symbol
_atom_site_fract_x
_atom_site_fract_y
_atom_site_fract_z
Sr1 Sr 0.000 0.000 0.000
Ac1 Ac 0.331 0.500 0.497
Ni1 Ni 0.077 0.500 0.732
Ge1 Ge 0.248 0.000 0.746
```

***

Quick one: most stable of them? two